# 1
VASP calculation (GGA-PBE) on a geometry-optimized PuZrGa2 structure.

POSCAR file:
```
PuZrGa2
1.0
-2.3258 0.1597 2.0154
-0.3595 -3.0558 -0.1727
5.4739 -1.0055 6.3966
Pu Ga Zr
1 2 1
Direct
0.5000 0.5000 0.5000
0.0000 0.0000 0.7629
0.0000 0.0000 0.2371
0.5000 0.5000 0.0000
```

Summary:
Space group ... P4/mmm
D(E_F) ... 6.572 states/eV/cell
Crystal system ... tetragonal
Polymorph energy (0 for the lowest one) ... 0.00 eV/f.u.
Energy relative to the elements ... -414 meV per atom

---

# 2
VASP calculation (GGA-PBE) on a geometry-optimized Pu2ZrGa6 structure.

POSCAR file:
```
Pu2ZrGa6
1.0
-1.8248 2.1896 -1.7000
-6.5136 -3.0659 3.0424
-2.8788 2.8051 6.7027
Ga Zr Pu
6 1 2
Direct
0.5000 0.6728 0.3272
0.5003 0.3272 0.0000
0.5000 0.3272 0.6728
0.5003 0.0000 0.3272
0.4997 0.0000 0.6728
0.4997 0.6728 0.0000
0.0000 0.0000 0.0000
0.0000 0.6667 0.6667
0.0000 0.3333 0.3333
```

Summary:
Space group ... P6/mmm
D(E_F) ... 13.317 states/eV/cell
Crystal system ... hexagonal
Energy relative to the elements ... -405 meV per atom

---

# 3
VASP calculation (GGA-PBE) on a geometry-optimized PuZrGa2 structure.

POSCAR file:
```
PuZrGa2
1.0
4.8960 0.0000 0.0000
2.4480 4.2401 0.0000
2.4480 1.4134 3.9976
Ga Pu Zr
2 1 1
Direct
0.7500 0.7500 0.7500
0.2500 0.2500 0.2500
0.0000 0.0000 0.0000
0.5000 0.5000 0.5000
```

Summary:
Space group ... Fm-3m
D(E_F) ... 7.844 states/eV/cell
Crystal system ... cubic
Polymorph energy (0 for the lowest one) ... 0.33 eV/f.u.
Energy relative to the elements ... -331 meV per atom

---

# 4
VASP calculation (GGA-PBE) on a geometry-optimized PuZrGa2 structure.

POSCAR file:
```
PuZrGa2
1.0
-1.4179 -1.3759 -3.5064
-1.0202 -3.9695 1.9702
-4.1318 1.5829 1.0497
Zr Ga Pu
1 2 1
Direct
0.5000 0.0000 0.0000
0.0000 0.5000 0.0000
0.0000 0.0000 0.5000
0.5000 0.5000 0.5000
```

Summary:
Space group ... P4/mmm
D(E_F) ... 9.771 states/eV/cell
Crystal system ... tetragonal
Polymorph energy (0 for the lowest one) ... 0.52 eV/f.u.
Energy relative to the elements ... -283 meV per atom

---

# 5
VASP calculation (GGA-PBE) on a geometry-optimized PuZrGa2 structure.

POSCAR file:
```
PuZrGa2
1.0
3.3218 0.0000 0.0000
1.6609 2.8768 0.0000
1.6609 0.9589 9.1520
Zr Ga Pu
1 2 1
Direct
0.0000 0.0000 0.0000
0.7455 0.7455 0.7634
0.2545 0.2545 0.2366
0.5000 0.5000 0.5000
```

Summary:
Space group ... R-3m
D(E_F) ... 8.700 states/eV/cell
Crystal system ... trigonal
Polymorph energy (0 for the lowest one) ... 0.89 eV/f.u.
Energy relative to the elements ... -192 meV per atom

---

# 6
VASP calculation (GGA-PBE) on a geometry-optimized PuZrGa structure.

POSCAR file:
```
PuZrGa
1.0
-1.7205 -4.6592 0.9147
3.3243 2.1279 3.1506
-4.3566 2.2173 3.0993
Zr Pu Ga
2 2 2
Direct
0.3334 0.6666 0.7500
0.6666 0.3334 0.2500
0.0000 0.0000 0.5000
0.0000 0.0000 0.0000
0.3333 0.6667 0.2500
0.6667 0.3333 0.7500
```

Summary:
Space group ... P6_3/mmc
D(E_F) ... 13.686 states/eV/cell
Crystal system ... hexagonal
Polymorph energy (0 for the lowest one) ... 0.00 eV/f.u.
Energy relative to the elements ... -284 meV per atom

---

# 7
VASP calculation (GGA-PBE) on a geometry-optimized RbGa structure.

POSCAR file:
```
RbGa
1.0
-11.2774 -3.6393 -0.6652
0.8200 -0.3781 -11.8343
1.3066 -4.0894 0.2212
Ga Rb
8 8
Direct
0.3842 0.0099 0.0000
0.9901 0.3842 0.0000
0.5099 0.1158 0.5000
0.6158 0.9901 0.0000
0.0099 0.6158 0.0000
0.1158 0.4901 0.5000
0.8842 0.5099 0.5000
0.4901 0.8842 0.5000
0.1801 0.8615 0.5000
0.8199 0.1385 0.5000
0.6385 0.6801 0.0000
0.3615 0.3199 0.0000
0.3199 0.6385 0.0000
0.1385 0.1801 0.5000
0.6801 0.3615 0.0000
0.8615 0.8199 0.5000
```

Summary:
Space group ... I4/m
D(E_F) ... 11.142 states/eV/cell
Crystal system ... tetragonal
Polymorph energy (0 for the lowest one) ... 0.18 eV/f.u.
Energy relative to the elements ... 26 meV per atom

---

# 8
VASP calculation (GGA-PBE) on a geometry-optimized RbGa structure.

POSCAR file:
```
RbGa
1.0
-11.3656 -0.1684 6.6514
0.8626 -5.9548 -11.7151
1.2579 -3.8546 2.0519
Rb Ga
6 6
Direct
0.5680 0.7840 0.7500
0.7840 0.2160 0.2500
0.7840 0.5680 0.2500
0.2160 0.7840 0.7500
0.2160 0.4320 0.7500
0.4320 0.2160 0.2500
0.4790 0.9579 0.2500
0.9579 0.4790 0.7500
0.5210 0.4790 0.7500
0.4790 0.5210 0.2500
0.5210 0.0421 0.7500
0.0421 0.5210 0.2500
```

Summary:
Space group ... P6_3/mmc
D(E_F) ... 5.696 states/eV/cell
Crystal system ... hexagonal
Polymorph energy (0 for the lowest one) ... 0.13 eV/f.u.
Energy relative to the elements ... 1 meV per atom

---

# 9
VASP calculation (GGA-PBE) on a geometry-optimized RbGa structure.

POSCAR file:
```
RbGa
1.0
-2.4413 -9.5714 1.6458
2.7570 -2.3102 -9.3457
9.3123 -1.8253 3.1984
Rb Ga
6 6
Direct
0.0000 0.5000 0.7500
0.5000 0.2500 0.0000
0.2500 0.0000 0.5000
0.7500 0.0000 0.5000
0.0000 0.5000 0.2500
0.5000 0.7500 0.0000
0.0000 0.2500 0.5000
0.0000 0.7500 0.5000
0.5000 0.0000 0.7500
0.7500 0.5000 0.0000
0.2500 0.5000 0.0000
0.5000 0.0000 0.2500
```

Summary:
Space group ... Pm-3n
D(E_F) ... 11.517 states/eV/cell
Crystal system ... cubic
Polymorph energy (0 for the lowest one) ... 1.71 eV/f.u.
Energy relative to the elements ... 789 meV per atom

---

# 10
VASP calculation (GGA-PBE) on a geometry-optimized RbGa structure.

POSCAR file:
```
RbGa
1.0
6.1632 0.0000 0.0000
-3.0816 5.3375 0.0000
0.0000 0.0000 7.3368
Ga Rb
2 2
Direct
0.3333 0.6667 0.2500
0.6667 0.3333 0.7500
0.3333 0.6667 0.7500
0.6667 0.3333 0.2500
```

Summary:
Space group ... P6_3/mmc
D(E_F) ... 3.424 states/eV/cell
Crystal system ... hexagonal
Polymorph energy (0 for the lowest one) ... 1.40 eV/f.u.
Energy relative to the elements ... 637 meV per atom

---

# 11
VASP calculation (GGA-PBE) on a geometry-optimized RbGa7 structure.

POSCAR file:
```
RbGa7
1.0
-4.6702 8.0521 -4.4685
-9.3558 3.9211 -1.9257
-6.0004 8.1251 2.1429
Ga Rb
14 2
Direct
0.1815 0.1815 0.5818
0.7983 0.2165 0.2165
0.8185 0.4182 0.8185
0.4182 0.8185 0.8185
0.1815 0.5818 0.1815
0.2165 0.2165 0.7983
0.7835 0.7835 0.2017
0.2017 0.7835 0.7835
0.8185 0.8185 0.4182
0.2165 0.7983 0.2165
0.5445 0.5445 0.5445
0.7835 0.2017 0.7835
0.4555 0.4555 0.4555
0.5818 0.1815 0.1815
0.8042 0.8042 0.8042
0.1958 0.1958 0.1958
```

Summary:
Space group ... R-3m
D(E_F) ... 1.091 states/eV/cell
Crystal system ... trigonal
Polymorph energy (0 for the lowest one) ... 0.00 eV/f.u.
Energy relative to the elements ... -106 meV per atom

---

# 12
VASP calculation (GGA-PBE) on a geometry-optimized RbGa4 structure.

POSCAR file:
```
RbGa4
1.0
5.9828 0.0000 0.0000
0.0000 5.9828 0.0000
0.0000 0.0000 5.9828
Ga Rb
4 1
Direct
0.5000 0.5000 0.0000
0.0000 0.5000 0.5000
0.5000 0.0000 0.5000
0.0000 0.0000 0.0000
0.5000 0.5000 0.5000
```

Summary:
Space group ... Pm-3m
D(E_F) ... 8.817 states/eV/cell
Crystal system ... cubic
Energy relative to the elements ... 1197 meV per atom

---

Question: What is the D(E_F) in the third record?
Answer: 7.844 states/eV/cell

---

Question: Which of these has the highest D(E_F)?
Answer: PuZrGa